*P*
The following is a GGA-PBE calculation of Pm2SmSn after structural relaxation, from Alexandria via LeMat-Bulk.

Cell: 5.533 5.533 5.533 Å, 60.00 60.00 60.00°
Fractional positions:
Pm (0.750, 0.750, 0.750)
Sm (0.000, 0.000, 0.000)
Pm (0.250, 0.250, 0.250)
Sn (0.500, 0.500, 0.500)

***

*Q*
The following is a GGA-PBE calculation of Pm2SmSn after structural relaxation, from Alexandria via LeMat-Bulk.

Cell: 6.156 6.156 6.820 Å, 90.00 90.00 67.23°
Fractional positions:
Pm (0.750, 0.750, 0.500)
Sn (0.250, 0.750, 0.750)
Pm (0.250, 0.250, 0.000)
Pm (0.750, 0.750, 0.000)
Pm (0.250, 0.250, 0.500)
Sm (0.250, 0.750, 0.250)
Sn (0.750, 0.250, 0.250)
Sm (0.750, 0.250, 0.750)

***

*R*
The following is a GGA-PBE calculation of Pm2SmSn after structural relaxation, from Alexandria via LeMat-Bulk.

Cell: 4.916 4.909 4.909 Å, 90.00 90.00 90.00°
Fractional positions:
Pm (0.000, 0.000, 0.500)
Pm (0.000, 0.500, 0.000)
Sm (0.500, 0.000, 0.000)
Sn (0.500, 0.500, 0.500)

***

*S*
The following is a GGA-PBE calculation of Pm2SmSn after structural relaxation, from Alexandria via LeMat-Bulk.

Cell: 3.521 3.521 12.224 Å, 81.72 81.72 60.00°
Site moments in Bohr magnetons follow the coordinates.
Fractional positions:
Pm (0.906, 0.906, 0.283)  0.04
Sn (0.500, 0.500, 0.500)  0.00
Sm (0.000, 0.000, 0.000)  0.18
Pm (0.094, 0.094, 0.717)  0.04

***

Which of them is most stable, and which least? Most stable: *R*; least stable: *S*.